Li5PrTl7: optimized geometry, PBE.

Properties
**VASP energy**: -2.596 eV per atom
**Symmetry**: Imm2 (44)
**Size of the total moment**: 0.000 μB per cell

abc: 7.654 7.654 7.654
angles: 132.93 98.83 99.51
Fractional coordinates of all 13 atoms:
Li: 0.000 0.000 0.000
Li: 0.236 0.244 0.512
Li: 0.236 0.724 0.992
Li: 0.732 0.244 0.008
Li: 0.732 0.724 0.488
Pr: 0.241 0.741 0.500
Tl: 0.025 0.216 0.809
Tl: 0.408 0.216 0.191
Tl: 0.465 0.465 0.000
Tl: 0.585 0.085 0.500
Tl: 0.586 0.750 0.836
Tl: 0.904 0.404 0.500
Tl: 0.914 0.750 0.164